The following is a PBE calculation of a relaxed structure of CaBiN2F, from Alexandria.

Values from the calculation:
The value obtained for the total energy is -4.72 eV/atom. Its volume is 17.0 Å³ per atom. As for the energy above the lowest structure with this stoichiometry: 0.3717 eV per atom. Its symmetry is P4/mmm (123).

Lattice parameters (Å, degrees): 4.546 4.546 4.120 90.00 90.00 90.00
Site moments in Bohr magnetons follow the coordinates.
Fractional coordinates of all 5 atoms:
Ca1 0.000 0.000 0.000  0.05
N1 0.000 0.500 0.000  0.82
N2 0.500 0.000 0.000  0.82
Bi1 0.500 0.500 0.500  -0.32
F1 0.000 0.000 0.500  -0.01